First-principles (PBE) data for crystalline TaVMo3 at its relaxed geometry, as listed in Alexandria via LeMat-Bulk.

## Properties
total magnetization	0.0	μB per formula unit
calculated volume	15.780	Å³ per atom
Fermi-level density of states	4.694	states/eV per cell
distance to the lowest polymorph of the same formula	0	meV per atom
ΔE_f	-0.1270	eV/atom
DFT total energy	-0.3976	hartree per atom

abc: 8.201 8.201 4.480
angles: 90.00 90.00 148.42
Atoms (fractional coordinates):
Ta  0.053  0.947  0.750
Ta  0.947  0.053  0.250
V  0.249  0.751  0.750
V  0.751  0.249  0.250
Mo  0.153  0.847  0.250
Mo  0.346  0.654  0.250
Mo  0.447  0.553  0.750
Mo  0.553  0.447  0.250
Mo  0.654  0.346  0.750
Mo  0.847  0.153  0.750